No. 1
{"formula": "KSrP", "functional": "PBEsol", "state": "relaxed", "sg": "Pnma", "formation_enthalpy_0k_kj_per_mol_atoms": -70.6, "lattice": [[8.384, 0.000, 0.000], [0.000, 5.040, 0.000], [0.000, 0.000, 8.789]], "species": ["K", "K", "K", "K", "Sr", "Sr", "Sr", "Sr", "P", "P", "P", "P"], "fractional_positions": [[0.018, 0.250, 0.171], [0.482, 0.750, 0.671], [0.518, 0.250, 0.329], [0.982, 0.750, 0.829], [0.152, 0.250, 0.585], [0.348, 0.750, 0.085], [0.652, 0.250, 0.915], [0.848, 0.750, 0.415], [0.209, 0.750, 0.401], [0.291, 0.250, 0.901], [0.709, 0.750, 0.099], [0.791, 0.250, 0.599]]}



No. 2
{"formula": "YFeCl2", "functional": "PBEsol", "state": "relaxed", "e_above_lowest_polymorph_mev_per_atom": 355, "sg": "I-4m2", "raw_formation_energy_kcal_per_mol_atoms": -10.8, "lattice": [[3.773, 0.000, 0.000], [0.000, 3.773, 0.000], [0.000, 0.000, 10.125]], "species": ["Y", "Y", "Fe", "Fe", "Cl", "Cl", "Cl", "Cl"], "fractional_positions": [[0.000, 0.000, 0.000], [0.500, 0.500, 0.500], [0.000, 0.500, 0.750], [0.500, 0.000, 0.250], [0.000, 0.000, 0.500], [0.000, 0.500, 0.250], [0.500, 0.000, 0.750], [0.500, 0.500, 0.000]]}



no.,total moment (μB per cell)
1,0.00
2,4.21